No. 1
## Zr3GeAs2 (PBE)

Data for Zr3GeAs2 after structural relaxation.

Summary:
* D(E_F): 2.4 states/eV per cell
* ΔH_f (0 K): -0.99 eV per atom

Geometry as CIF:
```
data_Zr3GeAs2
_cell_length_a 6.717
_cell_length_b 6.717
_cell_length_c 6.717
_cell_angle_alpha 146.56
_cell_angle_beta 131.74
_cell_angle_gamma 59.99
_symmetry_space_group_name_H-M 'P 1'
_symmetry_Int_Tables_number 1
loop_
_symmetry_equiv_pos_as_xyz
'x,y,z'
loop_
_atom_site_label
_atom_site_type_symbol
_atom_site_fract_x
_atom_site_fract_y
_atom_site_fract_z
Zr1 Zr 0.000 0.000 0.000
Zr2 Zr 0.334 0.334 0.000
Zr3 Zr 0.666 0.666 0.000
Ge1 Ge 0.500 0.000 0.500
As1 As 0.167 0.667 0.500
As2 As 0.833 0.333 0.500
```



No. 2
## Zr2GeAs2 (PBE)

Data for Zr2GeAs2 after structural relaxation.

Summary:
* D(E_F): 6.0 states/eV per cell
* polymorph energy (0 for the lowest one): 0.0 kJ/mol of atoms
* ΔH_f (0 K): -0.73 eV per atom

Geometry as CIF:
```
data_Zr2GeAs2
_cell_length_a 7.420
_cell_length_b 7.420
_cell_length_c 3.624
_cell_angle_alpha 90.00
_cell_angle_beta 90.00
_cell_angle_gamma 90.00
_symmetry_space_group_name_H-M 'P 1'
_symmetry_Int_Tables_number 1
loop_
_symmetry_equiv_pos_as_xyz
'x,y,z'
loop_
_atom_site_label
_atom_site_type_symbol
_atom_site_fract_x
_atom_site_fract_y
_atom_site_fract_z
Zr1 Zr 0.157 0.343 0.000
Zr2 Zr 0.343 0.843 0.000
Zr3 Zr 0.657 0.157 0.000
Zr4 Zr 0.843 0.657 0.000
Ge1 Ge 0.000 0.000 0.000
Ge2 Ge 0.500 0.500 0.000
As1 As 0.142 0.642 0.500
As2 As 0.358 0.142 0.500
As3 As 0.642 0.858 0.500
As4 As 0.858 0.358 0.500
```



No. 3
## Zr4Ge2As (PBE)

Data for Zr4Ge2As after structural relaxation.

Summary:
* D(E_F): 6.8 states/eV per cell
* ΔH_f (0 K): -0.06 eV per atom

Geometry as CIF:
```
data_Zr4Ge2As
_cell_length_a 8.032
_cell_length_b 8.032
_cell_length_c 8.032
_cell_angle_alpha 145.11
_cell_angle_beta 145.11
_cell_angle_gamma 50.17
_symmetry_space_group_name_H-M 'P 1'
_symmetry_Int_Tables_number 1
loop_
_symmetry_equiv_pos_as_xyz
'x,y,z'
loop_
_atom_site_label
_atom_site_type_symbol
_atom_site_fract_x
_atom_site_fract_y
_atom_site_fract_z
Zr1 Zr 0.000 0.500 0.500
Zr2 Zr 0.178 0.178 0.000
Zr3 Zr 0.500 0.000 0.500
Zr4 Zr 0.822 0.822 0.000
Ge1 Ge 0.366 0.366 0.000
Ge2 Ge 0.634 0.634 0.000
As1 As 0.000 0.000 0.000
```